Record 1
# Tb4CdGa, optimized geometry, DFT PBE-GGA
# Energy of formation (eV per atom): -0.056
data_Tb4CdGa
_cell_length_a 4.976
_cell_length_b 23.173
_cell_length_c 6.392
_cell_angle_alpha 90.00
_cell_angle_beta 90.00
_cell_angle_gamma 90.00
_space_group_name_H-M_alt 'C m c 21'
_space_group_IT_number 36
loop_
_space_group_symop_operation_xyz
'x,y,z'
'-x,-y,z+1/2'
'-x,y,z'
'x,-y,z+1/2'
'x+1/2,y+1/2,z'
'-x+1/2,-y+1/2,z+1/2'
'-x+1/2,y+1/2,z'
'x+1/2,-y+1/2,z+1/2'
loop_
_atom_site_label
_atom_site_type_symbol
_atom_site_fract_x
_atom_site_fract_y
_atom_site_fract_z
Tb1 Tb 0.000 0.076 0.000
Tb2 Tb 0.000 0.188 0.324
Tb3 Tb 0.000 0.219 0.837
Tb4 Tb 0.000 0.372 0.098
Cd1 Cd 0.000 0.055 0.497
Ga1 Ga 0.000 0.337 0.571

***

Record 2
# Tb3Cd2Ga, optimized geometry, DFT PBE-GGA
# Offset from the most stable computed form (meV/atom): 9
# Energy of formation (eV per atom): -0.398
data_Tb3Cd2Ga
_cell_length_a 5.2304
_cell_length_b 5.2304
_cell_length_c 6.4309
_cell_angle_alpha 90.00
_cell_angle_beta 90.00
_cell_angle_gamma 120.00
_space_group_name_H-M_alt 'P -3 m 1'
_space_group_IT_number 164
_space_group_name_Hall '-P 3 2"'
loop_
_atom_site_label
_atom_site_type_symbol
_atom_site_fract_x
_atom_site_fract_y
_atom_site_fract_z
Tb1 Tb 0.0000 0.0000 0.0000
Tb2 Tb 0.3333 0.6667 0.6525
Cd1 Cd 0.3333 0.6667 0.1485
Ga1 Ga 0.0000 0.0000 0.5000

***

Record 3
# Tb6CdGa2, optimized geometry, DFT PBE-GGA
# Energy of formation (eV per atom): -0.361
data_Tb6CdGa2
_cell_length_a 9.725
_cell_length_b 9.760
_cell_length_c 10.539
_cell_angle_alpha 90.00
_cell_angle_beta 90.00
_cell_angle_gamma 90.00
_space_group_name_H-M_alt 'I m m m'
_space_group_IT_number 71
_space_group_name_Hall '-I 2 2'
loop_
_atom_site_label
_atom_site_type_symbol
_atom_site_fract_x
_atom_site_fract_y
_atom_site_fract_z
Tb1 Tb 0.000 0.205 0.178
Tb2 Tb 0.181 0.223 0.500
Tb3 Tb 0.201 0.500 0.256
Cd1 Cd 0.000 0.500 0.000
Cd2 Cd 0.000 0.500 0.500
Ga1 Ga 0.000 0.000 0.379
Ga2 Ga 0.146 0.000 0.000

***

Record 4
# Tb3Cd2Ga, optimized geometry, DFT PBE-GGA
# Offset from the most stable computed form (meV/atom): 0
# Energy of formation (eV per atom): -0.407
data_Tb3Cd2Ga
_cell_length_a 3.671
_cell_length_b 3.671
_cell_length_c 11.280
_cell_angle_alpha 90.00
_cell_angle_beta 90.00
_cell_angle_gamma 90.00
_space_group_name_H-M_alt 'P 4/m m m'
_space_group_IT_number 123
_space_group_name_Hall '-P 4 2'
loop_
_atom_site_label
_atom_site_type_symbol
_atom_site_fract_x
_atom_site_fract_y
_atom_site_fract_z
Tb1 Tb 0.000 0.000 0.000
Tb2 Tb 0.000 0.000 0.346
Cd1 Cd 0.500 0.500 0.170
Ga1 Ga 0.500 0.500 0.500

***

Record 5
# TbThCdGa, optimized geometry, DFT PBE-GGA
# Energy of formation (eV per atom): -0.327
data_TbThCdGa
_cell_length_a 7.452
_cell_length_b 7.452
_cell_length_c 7.452
_cell_angle_alpha 90.00
_cell_angle_beta 90.00
_cell_angle_gamma 90.00
_space_group_name_H-M_alt 'F -4 3 m'
_space_group_IT_number 216
_space_group_name_Hall 'F -4 2 3'
loop_
_atom_site_label
_atom_site_type_symbol
_atom_site_fract_x
_atom_site_fract_y
_atom_site_fract_z
Tb1 Tb 0.000 0.000 0.000
Th1 Th 0.000 0.000 0.500
Cd1 Cd 0.250 0.250 0.750
Ga1 Ga 0.250 0.250 0.250

***

Record 6
# TbTiCdGa, optimized geometry, DFT PBE-GGA
# Energy of formation (eV per atom): -0.208
data_TbTiCdGa
_cell_length_a 6.936
_cell_length_b 6.936
_cell_length_c 6.936
_cell_angle_alpha 90.00
_cell_angle_beta 90.00
_cell_angle_gamma 90.00
_space_group_name_H-M_alt 'F -4 3 m'
_space_group_IT_number 216
_space_group_name_Hall 'F -4 2 3'
loop_
_atom_site_label
_atom_site_type_symbol
_atom_site_fract_x
_atom_site_fract_y
_atom_site_fract_z
Tb1 Tb 0.000 0.000 0.000
Ti1 Ti 0.000 0.000 0.500
Cd1 Cd 0.250 0.250 0.250
Ga1 Ga 0.250 0.250 0.750

***

Record 7
# TbTmCdGa, optimized geometry, DFT PBE-GGA
# Offset from the most stable computed form (meV/atom): 0
# Energy of formation (eV per atom): -0.456
data_TbTmCdGa
_cell_length_a 3.610
_cell_length_b 3.610
_cell_length_c 7.401
_cell_angle_alpha 90.00
_cell_angle_beta 90.00
_cell_angle_gamma 90.00
_space_group_name_H-M_alt 'P 4 m m'
_space_group_IT_number 99
loop_
_space_group_symop_operation_xyz
'x,y,z'
'-y,x,z'
'-x,-y,z'
'y,-x,z'
'-x,y,z'
'y,x,z'
'x,-y,z'
'-y,-x,z'
loop_
_atom_site_label
_atom_site_type_symbol
_atom_site_fract_x
_atom_site_fract_y
_atom_site_fract_z
Tb1 Tb 0.000 0.000 0.000
Tm1 Tm 0.000 0.000 0.531
Cd1 Cd 0.500 0.500 0.274
Ga1 Ga 0.500 0.500 0.759

***

Record 8
# TbTmCdGa, optimized geometry, DFT PBE-GGA
# Offset from the most stable computed form (meV/atom): 21
# Energy of formation (eV per atom): -0.435
data_TbTmCdGa
_cell_length_a 7.288
_cell_length_b 7.288
_cell_length_c 7.288
_cell_angle_alpha 90.00
_cell_angle_beta 90.00
_cell_angle_gamma 90.00
_space_group_name_H-M_alt 'F -4 3 m'
_space_group_IT_number 216
_space_group_name_Hall 'F -4 2 3'
loop_
_atom_site_label
_atom_site_type_symbol
_atom_site_fract_x
_atom_site_fract_y
_atom_site_fract_z
Tb1 Tb 0.000 0.000 0.000
Tm1 Tm 0.000 0.000 0.500
Cd1 Cd 0.250 0.250 0.250
Ga1 Ga 0.250 0.250 0.750

***

Record 9
# Tb2Zn4CdGa3, optimized geometry, DFT PBE-GGA
# Energy of formation (eV per atom): -0.383
data_Tb2Zn4CdGa3
_cell_length_a 4.208
_cell_length_b 4.208
_cell_length_c 10.821
_cell_angle_alpha 90.00
_cell_angle_beta 90.00
_cell_angle_gamma 90.00
_space_group_name_H-M_alt 'P -4 m 2'
_space_group_IT_number 115
loop_
_space_group_symop_operation_xyz
'x,y,z'
'y,-x,-z'
'-x,-y,z'
'-y,x,-z'
'-x,y,z'
'-y,-x,-z'
'x,-y,z'
'y,x,-z'
loop_
_atom_site_label
_atom_site_type_symbol
_atom_site_fract_x
_atom_site_fract_y
_atom_site_fract_z
Tb1 Tb 0.000 0.500 0.237
Zn1 Zn 0.000 0.000 0.000
Zn2 Zn 0.000 0.500 0.646
Zn3 Zn 0.500 0.500 0.000
Cd1 Cd 0.000 0.000 0.500
Ga1 Ga 0.000 0.500 0.867
Ga2 Ga 0.500 0.500 0.500

***

Record 10
# TbZnCdGa, optimized geometry, DFT PBE-GGA
# Energy of formation (eV per atom): -0.326
data_TbZnCdGa
_cell_length_a 6.918
_cell_length_b 6.918
_cell_length_c 6.918
_cell_angle_alpha 90.00
_cell_angle_beta 90.00
_cell_angle_gamma 90.00
_space_group_name_H-M_alt 'F -4 3 m'
_space_group_IT_number 216
_space_group_name_Hall 'F -4 2 3'
loop_
_atom_site_label
_atom_site_type_symbol
_atom_site_fract_x
_atom_site_fract_y
_atom_site_fract_z
Tb1 Tb 0.000 0.000 0.000
Zn1 Zn 0.250 0.250 0.250
Cd1 Cd 0.000 0.000 0.500
Ga1 Ga 0.250 0.250 0.750

***

Record 11
# CdGa2Tc2, optimized geometry, DFT PBE-GGA
# Offset from the most stable computed form (meV/atom): 14
# Energy of formation (eV per atom): 0.103
data_CdGa2Tc2
_cell_length_a 6.917
_cell_length_b 6.917
_cell_length_c 3.307
_cell_angle_alpha 90.00
_cell_angle_beta 90.00
_cell_angle_gamma 90.00
_space_group_name_H-M_alt 'P 4/m b m'
_space_group_IT_number 127
_space_group_name_Hall '-P 4 2ab'
loop_
_atom_site_label
_atom_site_type_symbol
_atom_site_fract_x
_atom_site_fract_y
_atom_site_fract_z
Cd1 Cd 0.000 0.000 0.000
Ga1 Ga 0.132 0.368 0.000
Tc1 Tc 0.163 0.663 0.500

***

Record 12
# Cd2GaTc, optimized geometry, DFT PBE-GGA
# Energy of formation (eV per atom): 0.503
data_Cd2GaTc
_cell_length_a 2.8150
_cell_length_b 2.8150
_cell_length_c 34.4042
_cell_angle_alpha 90.00
_cell_angle_beta 90.00
_cell_angle_gamma 120.00
_space_group_name_H-M_alt 'R -3 m'
_space_group_IT_number 166
_space_group_name_Hall '-R 3 2"'
loop_
_atom_site_label
_atom_site_type_symbol
_atom_site_fract_x
_atom_site_fract_y
_atom_site_fract_z
Cd1 Cd 0.0000 0.0000 0.0829
Ga1 Ga 0.0000 0.0000 0.5000
Tc1 Tc 0.0000 0.0000 0.0000

***

Record 13
# Cd3GaTc, optimized geometry, DFT PBE-GGA
# Offset from the most stable computed form (meV/atom): 244
# Energy of formation (eV per atom): 1.067
data_Cd3GaTc
_cell_length_a 5.009
_cell_length_b 5.009
_cell_length_c 5.009
_cell_angle_alpha 90.00
_cell_angle_beta 90.00
_cell_angle_gamma 90.00
_space_group_name_H-M_alt 'P m -3 m'
_space_group_IT_number 221
_space_group_name_Hall '-P 4 2 3'
loop_
_atom_site_label
_atom_site_type_symbol
_atom_site_fract_x
_atom_site_fract_y
_atom_site_fract_z
Cd1 Cd 0.000 0.000 0.500
Ga1 Ga 0.000 0.000 0.000
Tc1 Tc 0.500 0.500 0.500

***

In eV/atom, the DFT total energy values for the records above are, in order, -3.80 -3.52 -4.22 -3.53 -4.32 -4.32 -3.72 -3.70 -2.82 -2.79 -5.44 -3.30 -2.16.